Here is an optimized crystal structure of LiAl5Ag6 from the Alexandria database. Energies are from PBE.

Values from the calculation:
Formation energy from the elements ... -1.0 eV per formula unit
Density of states at the Fermi level ... 2.2 states/eV/f.u.
Space group ... No. 12
DFT total energy ... -3.2297 eV/atom

```
LiAl5Ag6
1.0
-0.685 -4.048 -6.750
-1.550 -4.259 -0.373
-7.013 0.208 -0.955
Al Ag Li
5 6 1
Direct
0.500 0.835 0.330
0.000 0.665 0.670
0.000 0.335 0.330
0.500 0.500 0.000
0.500 0.165 0.670
0.752 0.416 0.666
0.756 0.744 0.000
0.752 0.082 0.334
0.244 0.256 0.000
0.248 0.918 0.666
0.248 0.584 0.334
0.000 0.000 0.000
```